# 1
First-principles (GGA-PBE) data for a relaxed structure of Gd2TiCd, as listed in the Alexandria database.

The value obtained for the density of states at the Fermi level is 1.49 states/eV per atom. For the size of the total moment, the calculation gives 50.54 μB/cell. The formation energy from the elements comes out at 0.35 eV/atom. As for the energy above the most stable polymorph in this dataset: 368 meV per atom. For the calculated volume, the calculation gives 317 Å³ per cell.

The space group is R-3m (No. 166, hexagonal axes) and the conventional cell measures 3.2725, 3.2725 and 34.2242 Å, with angles of 90.00, 90.00 and 120.00 degrees. The distinct sites, in fractional coordinates, are Gd at (0.0000, 0.0000, 0.0862), Ti at (0.0000, 0.0000, 0.0000) and Cd at (0.0000, 0.0000, 0.5000).

***

# 2
First-principles (GGA-PBE) data for a relaxed structure of Dy2YMg, as listed in the Alexandria database.

The value obtained for the density of states at the Fermi level is 1.40 states/eV per atom. For the size of the total moment, the calculation gives 0.00 μB/cell. The formation energy from the elements comes out at 0.05 eV/atom. As for the energy above the most stable polymorph in this dataset: 80 meV per atom. For the calculated volume, the calculation gives 362 Å³ per cell.

The space group is R3m (No. 160, hexagonal axes) and the conventional cell measures 3.5038, 3.5038 and 34.0374 Å, with angles of 90.00, 90.00 and 120.00 degrees. The distinct sites, in fractional coordinates, are Dy at (0.0000, 0.0000, 0.0000), Dy at (0.0000, 0.0000, 0.1636), Y at (0.0000, 0.0000, 0.5816) and Mg at (0.0000, 0.0000, 0.7484).

***

# 3
First-principles (GGA-PBE) data for a relaxed structure of Pm2Dy3Zn3, as listed in the Alexandria database.

The value obtained for the density of states at the Fermi level is 1.03 states/eV per atom. For the size of the total moment, the calculation gives 0.00 μB/cell. The formation energy from the elements comes out at -0.23 eV/atom. For the calculated volume, the calculation gives 409 Å³ per cell.

The space group is Immm (No. 71) and the conventional cell measures 3.649, 5.165 and 21.727 Å, with angles of 90.00, 90.00 and 90.00 degrees. The distinct sites, in fractional coordinates, are Pm at (0.000, 0.000, 0.228), Dy at (0.000, 0.000, 0.000), Dy at (0.000, 0.500, 0.115), Zn at (0.000, 0.000, 0.500) and Zn at (0.000, 0.500, 0.388).

***

# 4
First-principles (GGA-PBE) data for a relaxed structure of MnTl2Ge, as listed in the Alexandria database.

The value obtained for the density of states at the Fermi level is 0.65 states/eV per atom. For the size of the total moment, the calculation gives 3.97 μB/cell. The formation energy from the elements comes out at 0.35 eV/atom. For the calculated volume, the calculation gives 479 Å³ per cell.

The space group is I4_1/amd (No. 141, origin choice 2) and the conventional cell measures 10.213, 10.213 and 4.590 Å, with angles of 90.00, 90.00 and 90.00 degrees. The distinct sites, in fractional coordinates, are Mn at (0.000, 0.250, 0.375), Tl at (0.000, 0.000, 0.500) and Ge at (0.000, 0.250, 0.875).

***

# 5
First-principles (GGA-PBE) data for a relaxed structure of ZrGe2Ir, as listed in the Alexandria database.

The value obtained for the density of states at the Fermi level is 0.75 states/eV per atom. For the size of the total moment, the calculation gives 0.00 μB/cell. The formation energy from the elements comes out at -0.21 eV/atom. For the calculated volume, the calculation gives 302 Å³ per cell.

The space group is I-42d (No. 122) and the conventional cell measures 4.059, 4.059 and 18.321 Å, with angles of 90.00, 90.00 and 90.00 degrees. The distinct sites, in fractional coordinates, are Zr at (0.000, 0.000, 0.000), Ge at (0.205, 0.250, 0.625) and Ir at (0.000, 0.000, 0.500).

***

# 6
First-principles (GGA-PBE) data for a relaxed structure of GaNiTe2N, as listed in the Alexandria database.

The value obtained for the density of states at the Fermi level is 1.04 states/eV per atom. For the size of the total moment, the calculation gives 0.39 μB/cell. As for the energy above the most stable polymorph in this dataset: 570 meV per atom. The calculation puts the uncorrected formation energy at 0.92 eV per atom. For the calculated volume, the calculation gives 109 Å³ per cell.

The space group is P4/mmm (No. 123) and the conventional cell measures 5.610, 5.610 and 3.451 Å, with angles of 90.00, 90.00 and 90.00 degrees. The distinct sites, in fractional coordinates, are Ga at (0.000, 0.000, 0.000), Ni at (0.500, 0.500, 0.500), Te at (0.000, 0.500, 0.000) and N at (0.000, 0.000, 0.500).

***

# 7
First-principles (GGA-PBE) data for a relaxed structure of TbPr12Sm3, as listed in the Alexandria database.

The value obtained for the density of states at the Fermi level is 1.58 states/eV per atom. For the size of the total moment, the calculation gives 0.00 μB/cell. The formation energy from the elements comes out at 0.01 eV/atom. For the calculated volume, the calculation gives 567 Å³ per cell.

The space group is P4/mmm (No. 123) and the conventional cell measures 5.217, 5.217 and 20.831 Å, with angles of 90.00, 90.00 and 90.00 degrees. The distinct sites, in fractional coordinates, are Tb at (0.000, 0.000, 0.000), Pr at (0.000, 0.500, 0.124), Pr at (0.000, 0.500, 0.375), Pr at (0.500, 0.500, 0.000), Pr at (0.500, 0.500, 0.249), Pr at (0.500, 0.500, 0.500), Sm at (0.000, 0.000, 0.249) and Sm at (0.000, 0.000, 0.500).

***

# 8
First-principles (GGA-PBE) data for a relaxed structure of Ga2Bi2Se, as listed in the Alexandria database.

The value obtained for the density of states at the Fermi level is 0.67 states/eV per atom. For the size of the total moment, the calculation gives 0.00 μB/cell. As for the energy above the most stable polymorph in this dataset: 147 meV per atom. The calculation puts the uncorrected formation energy at 0.18 eV per atom. For the calculated volume, the calculation gives 253 Å³ per cell.

The space group is P4/mbm (No. 127) and the conventional cell measures 8.177, 8.177 and 3.785 Å, with angles of 90.00, 90.00 and 90.00 degrees. The distinct sites, in fractional coordinates, are Ga at (0.152, 0.348, 0.000), Bi at (0.150, 0.650, 0.500) and Se at (0.000, 0.000, 0.000).

***

# 9
First-principles (GGA-PBE) data for a relaxed structure of K3Ac3CuO8, as listed in the Alexandria database.

The value obtained for the density of states at the Fermi level is 0.70 states/eV per atom. For the size of the total moment, the calculation gives 1.07 μB/cell. The calculation puts the uncorrected formation energy at -2.05 eV per atom. For the calculated volume, the calculation gives 304 Å³ per cell.

The space group is P-1 (No. 2) and the conventional cell measures 7.165, 7.457 and 7.581 Å, with angles of 117.61, 117.95 and 90.49 degrees. The distinct sites, in fractional coordinates, are K at (0.000, 0.000, 0.000), K at (0.000, 0.000, 0.500), K at (0.500, 0.000, 0.000), Ac at (0.000, 0.500, 0.000), Ac at (0.500, 0.500, 0.000), Ac at (0.500, 0.500, 0.500), Cu at (0.000, 0.500, 0.500), O at (0.166, 0.645, 0.444), O at (0.222, 0.357, 0.560), O at (0.282, 0.297, 0.057) and O at (0.282, 0.749, 0.091).

***

# 10
First-principles (GGA-PBE) data for a relaxed structure of AcTbS2, as listed in the Alexandria database.

The value obtained for the density of states at the Fermi level is 0.37 states/eV per atom. For the size of the total moment, the calculation gives 0.00 μB/cell. As for the energy above the most stable polymorph in this dataset: 0 meV per atom. The calculation puts the uncorrected formation energy at -2.00 eV per atom. For the calculated volume, the calculation gives 296 Å³ per cell.

The space group is R-3m (No. 166, hexagonal axes) and the conventional cell measures 4.0470, 4.0470 and 20.8533 Å, with angles of 90.00, 90.00 and 120.00 degrees. The distinct sites, in fractional coordinates, are Ac at (0.0000, 0.0000, 0.0000), Tb at (0.0000, 0.0000, 0.5000) and S at (0.0000, 0.0000, 0.2399).

***

# 11
First-principles (GGA-PBE) data for a relaxed structure of Ac8AgPd6, as listed in the Alexandria database.

The value obtained for the density of states at the Fermi level is 0.86 states/eV per atom. For the size of the total moment, the calculation gives 0.00 μB/cell. The formation energy from the elements comes out at -0.59 eV/atom. For the calculated volume, the calculation gives 462 Å³ per cell.

The space group is P-3 (No. 147) and the conventional cell measures 10.8818, 10.8818 and 4.5016 Å, with angles of 90.00, 90.00 and 120.00 degrees. The distinct sites, in fractional coordinates, are Ac at (0.0657, 0.7476, 0.2477), Ac at (0.3333, 0.6667, 0.7496), Ag at (0.0000, 0.0000, 0.5000) and Pd at (0.0725, 0.4704, 0.2527).

***

# 12
First-principles (GGA-PBE) data for a relaxed structure of Co2HgAu2, as listed in the Alexandria database.

The value obtained for the density of states at the Fermi level is 1.04 states/eV per atom. For the size of the total moment, the calculation gives 7.53 μB/cell. The formation energy from the elements comes out at 0.45 eV/atom. As for the energy above the most stable polymorph in this dataset: 123 meV per atom. For the calculated volume, the calculation gives 175 Å³ per cell.

The space group is I4/mmm (No. 139) and the conventional cell measures 3.864, 3.864 and 11.746 Å, with angles of 90.00, 90.00 and 90.00 degrees. The distinct sites, in fractional coordinates, are Co at (0.000, 0.000, 0.093), Hg at (0.000, 0.000, 0.500) and Au at (0.000, 0.500, 0.250).